(1)
Pm3Ru2Br GGA-PBE relaxed; symmetry = P4/mmm, No. 123; formation energy (no corrections) = -13.2 kcal/mol of atoms; total DFT energy (no corrections) = -6.318 eV per atom
1.0
-2.4362 2.4339 0.3486
-2.1793 -1.9103 -1.8925
-3.8962 -5.3102 9.8466
Pm Ru Br
3 2 1
direct
0.0000 0.0000 0.0000 Pm
0.0000 0.0000 0.7036 Pm
0.0000 0.0000 0.2964 Pm
0.5000 0.5000 0.8433 Ru
0.5000 0.5000 0.1567 Ru
0.5000 0.5000 0.5000 Br

=====

(2)
Pm4RuBr3 GGA-PBE relaxed; symmetry = Pmmn, No. 59; formation energy (no corrections) = -19.8 kcal/mol of atoms; total DFT energy (no corrections) = -5.020 eV per atom
1.0
-0.8257 2.2730 -5.4729
0.7939 -5.5526 -2.4258
-11.8600 -2.0969 0.9184
Pm Ru Br
8 2 6
direct
0.0644 0.6987 0.0000 Pm
0.5644 0.1712 0.0000 Pm
0.0644 0.1943 0.2169 Pm
0.5644 0.8057 0.2831 Pm
0.0644 0.8288 0.5000 Pm
0.5644 0.3013 0.5000 Pm
0.5644 0.8057 0.7169 Pm
0.0644 0.1943 0.7831 Pm
0.0644 0.1861 0.0000 Ru
0.5644 0.8139 0.5000 Ru
0.5644 0.6768 0.0000 Br
0.0644 0.6883 0.2517 Br
0.5644 0.3117 0.2483 Br
0.0644 0.3232 0.5000 Br
0.5644 0.3117 0.7517 Br
0.0644 0.6883 0.7483 Br

=====

(3)
Pm5Ru2Br2 GGA-PBE relaxed; symmetry = Cmce, No. 64; formation energy (no corrections) = -15.5 kcal/mol of atoms; total DFT energy (no corrections) = -5.745 eV per atom
1.0
7.9733 0.0000 0.0000
0.0000 7.0796 -3.6394
0.0000 0.1735 9.0432
Pm Ru Br
10 4 4
direct
0.0000 0.0000 0.0000 Pm
0.5000 0.5000 0.0000 Pm
0.8463 0.7657 0.2206 Pm
0.1537 0.4550 0.2206 Pm
0.3463 0.9550 0.2206 Pm
0.6537 0.2657 0.2206 Pm
0.1537 0.2343 0.7794 Pm
0.8463 0.5450 0.7794 Pm
0.6537 0.0450 0.7794 Pm
0.3463 0.7343 0.7794 Pm
0.6420 0.8573 0.0000 Ru
0.3580 0.1427 0.0000 Ru
0.1420 0.6427 0.0000 Ru
0.8580 0.3573 0.0000 Ru
0.0000 0.2171 0.4343 Br
0.5000 0.7171 0.4343 Br
0.0000 0.7829 0.5657 Br
0.5000 0.2829 0.5657 Br

=====

> Among the records above, which one has the lowest total DFT energy (no corrections)?

Pm3Ru2Br